No. 1
PBE-GGA PaAlAg, relaxed; ΔE_f = -16 kJ/mol of formula units; energy above the lowest structure with this stoichiometry = 24.8 meV/atom; uncorrected energy = -5.42 eV/atom; SG = No. 63
1.0
4.3920 0.0000 -0.0192
0.0000 4.3657 0.0000
0.0280 -2.1829 6.3695
Pa Al Ag
2 2 2
direct
0.2500 0.9337 0.8675
0.7500 0.0663 0.1325
0.2500 0.6123 0.2246
0.7500 0.3877 0.7754
0.2500 0.2543 0.5086
0.7500 0.7457 0.4914

---

No. 2
PBE-GGA Pa2Al8Ag, relaxed; ΔE_f = -186 kJ/mol of formula units; uncorrected energy = -4.88 eV/atom; SG = No. 123
1.0
4.3522 0.0000 0.0000
0.0000 4.3522 0.0000
0.0000 0.0000 11.4099
Pa Al Ag
2 8 1
direct
0.0000 0.0000 0.3149
0.0000 0.0000 0.6851
0.0000 0.5000 0.5000
0.5000 0.0000 0.5000
0.5000 0.5000 0.3116
0.5000 0.5000 0.6884
0.0000 0.5000 0.1317
0.5000 0.0000 0.1317
0.0000 0.5000 0.8683
0.5000 0.0000 0.8683
0.0000 0.0000 0.0000

---

No. 3
PBE-GGA PaAlAgPd, relaxed; ΔE_f = -100 kJ/mol of formula units; uncorrected energy = -5.58 eV/atom; SG = No. 216
1.0
4.8199 0.0000 0.0000
2.4100 4.1742 0.0000
2.4100 1.3914 3.9354
Pa Pd Ag Al
1 1 1 1
direct
0.0000 0.0000 0.0000
0.7500 0.7500 0.7500
0.2500 0.2500 0.2500
0.5000 0.5000 0.5000

---

No. 4
PBE-GGA ScPaAlAg, relaxed; ΔE_f = 4 kJ/mol of formula units; uncorrected energy = -5.60 eV/atom; SG = No. 216
1.0
4.9976 0.0000 0.0000
2.4988 4.3280 0.0000
2.4988 1.4427 4.0805
Sc Pa Al Ag
1 1 1 1
direct
0.2500 0.2500 0.2500
0.7500 0.7500 0.7500
0.0000 0.0000 0.0000
0.5000 0.5000 0.5000

---

No. 5
PBE-GGA PaAl3ZnAg, relaxed; ΔE_f = 84 kJ/mol of formula units; uncorrected energy = -4.00 eV/atom; SG = No. 63
1.0
-0.9074 5.5689 0.2657
-3.7164 -0.3838 -4.6482
-3.4731 -0.8844 6.6755
Pa Al Zn Ag
2 6 2 2
direct
0.7500 0.3108 0.6216
0.2500 0.6892 0.3784
0.2500 0.1467 0.2934
0.0000 0.2866 0.0000
0.5000 0.7134 0.0000
0.5000 0.2866 0.0000
0.0000 0.7134 0.0000
0.7500 0.8533 0.7066
0.2500 0.3528 0.7056
0.7500 0.6472 0.2944
0.2500 0.8967 0.7933
0.7500 0.1033 0.2067

---

No. 6
PBE-GGA PaAlZnAg, relaxed; ΔE_f = 2 kJ/mol of formula units; uncorrected energy = -4.34 eV/atom; SG = No. 216
1.0
-1.4435 4.0286 -2.2222
-0.1368 0.1798 -4.8167
-4.2427 0.1028 -2.2893
Zn Pa Al Ag
1 1 1 1
direct
0.7500 0.7500 0.7500
0.0000 0.0000 0.0000
0.5000 0.5000 0.5000
0.2500 0.2500 0.2500

---

No. 7
PBE-GGA AlAg2Pb2, relaxed; ΔE_f = 72 kJ/mol of formula units; energy above the lowest structure with this stoichiometry = 0.0 meV/atom; uncorrected energy = -3.22 eV/atom; SG = No. 127
1.0
-3.8190 4.2403 -4.1553
-0.3046 -5.0742 -4.8981
-4.0493 -1.6873 1.9997
Pb Al Ag
4 2 4
direct
0.1714 0.6714 0.5000
0.6714 0.8286 0.5000
0.8286 0.3286 0.5000
0.3286 0.1714 0.5000
0.0000 0.0000 0.0000
0.5000 0.5000 0.0000
0.3568 0.8568 0.0000
0.8568 0.6432 0.0000
0.6432 0.1432 0.0000
0.1432 0.3568 0.0000

---

No. 8
PBE-GGA Al4AgPb, relaxed; ΔE_f = 122 kJ/mol of formula units; uncorrected energy = -3.38 eV/atom; SG = No. 216
1.0
-3.4677 0.2305 4.3400
-0.5192 4.7177 2.8961
-4.6877 2.9702 -0.3418
Al Ag Pb
4 1 1
direct
0.8773 0.3742 0.3742
0.3742 0.3742 0.8773
0.3742 0.8773 0.3742
0.3742 0.3742 0.3742
0.0000 0.0000 0.0000
0.7500 0.7500 0.7500